1.
An optimized crystal structure of LaRu2W2, computed with PBE.

Unit cell a=4.3869 b=4.3869 c=10.5587 alpha=90.00 beta=90.00 gamma=90.00
With the nearest neighbours (Å) after each atom.
Space group I4/mmm (No. 139)
Asymmetric unit:
La: 0.0000 0.0000 0.0000 x2  8 Ru 3.40, 8 W 3.43
Ru: 0.0000 0.0000 0.3690 x4  4 W 2.53, 1 Ru 2.77
W: 0.0000 0.5000 0.2500 x4  4 Ru 2.53

Output
energy above the lowest structure with this stoichiometry	0.00	eV per formula unit
formation energy from the elements	0.021	eV/atom
E	-98.56	eV/cell

2.
An optimized crystal structure of Ta3H, computed with PBE.

Unit cell a=2.8046 b=2.8066 c=7.5773 alpha=90.00 beta=90.00 gamma=90.00
With the nearest neighbours (Å) after each atom.
Space group Pmm2 (No. 25)
Asymmetric unit:
Ta: 0.0000 0.0000 0.0000 x1  2 H 2.34
Ta: 0.0000 0.5000 0.3519 x1  4 H 2.14
Ta: 0.5000 0.5000 0.6930 x1  10 Ta 2.80-3.06
H: 0.5000 0.0000 0.2474 x1  6 Ta 2.14-2.34

Output
energy above the lowest structure with this stoichiometry	0.54	eV per formula unit
E	-37.67	eV/cell

3.
An optimized crystal structure of SrMgNiHg2, computed with PBE.

Unit cell a=5.1231 b=5.1231 c=4.8019 alpha=90.00 beta=90.00 gamma=90.00
With the nearest neighbours (Å) after each atom.
Space group P4/mmm (No. 123)
Asymmetric unit:
Sr: 0.0000 0.0000 0.0000 x1  8 Hg 3.51, 4 Mg 3.62
Mg: 0.5000 0.5000 0.0000 x1  2 Ni 2.40
Ni: 0.5000 0.5000 0.5000 x1  2 Mg 2.40, 4 Hg 2.56
Hg: 0.0000 0.5000 0.5000 x2  2 Ni 2.56

Output
formation energy from the elements	-0.197	eV/atom
E	-10.65	eV/cell

4.
An optimized crystal structure of BeHg4, computed with PBE.

Unit cell a=4.9508 b=4.9508 c=4.9508 alpha=90.00 beta=90.00 gamma=90.00
With the nearest neighbours (Å) after each atom.
Space group Pm-3m (No. 221)
Asymmetric unit:
Be: 0.0000 0.0000 0.0000 x1  6 Hg 2.48
Hg: 0.0000 0.0000 0.5000 x3  2 Be 2.48
Hg: 0.5000 0.5000 0.5000 x1  12 Hg 3.50

Output
energy above the lowest structure with this stoichiometry	0.00	eV per formula unit
formation energy from the elements	0.154	eV/atom
E	-4.16	eV/cell

5.
An optimized crystal structure of TbY3Ho3Te8, computed with PBE.

Unit cell a=8.6724 b=8.6724 c=21.2334 alpha=90.00 beta=90.00 gamma=120.00
With the nearest neighbours (Å) after each atom.
Space group R-3m (No. 166, hexagonal axes)
Asymmetric unit:
Tb: 0.0000 0.0000 0.0000 x3  6 Te 3.15
Y: 0.0000 0.5000 0.5000 x9  6 Te 3.08
Ho: 0.0000 0.5000 0.0000 x9  6 Te 3.06
Te: 0.0000 0.0000 0.2508 x6  3 Ho 3.06, 3 Y 3.08
Te: 0.0097 0.5048 0.2484 x18  2 Ho 3.06, 2 Y 3.08, 1 Tb 3.15

Output
E	-250.10	eV/cell
E_form (uncorrected)	-1976	kJ/mol of formula units

6.
An optimized crystal structure of Sm4Ho10Th, computed with PBE.

Unit cell a=11.1695 b=11.1695 c=8.0453 alpha=90.00 beta=90.00 gamma=90.00
With the nearest neighbours (Å) after each atom.
Space group I4/mmm (No. 139)
Asymmetric unit:
Sm: 0.2252 0.2252 0.0000 x8  8 Ho 3.47-3.56, 1 Th 3.56
Ho: 0.0000 0.2069 0.2962 x16  4 Ho 3.27-3.29, 1 Th 3.32, 4 Sm 3.47-3.56
Ho: 0.0000 0.5000 0.2500 x4  4 Ho 3.29
Th: 0.0000 0.0000 0.0000 x2  8 Ho 3.32, 4 Sm 3.56

Output
formation energy from the elements	0.251	eV/atom
E	-136.61	eV/cell

7.
An optimized crystal structure of AcCePaSn, computed with PBE.

Unit cell a=7.8627 b=7.8627 c=7.8627 alpha=90.00 beta=90.00 gamma=90.00
With the nearest neighbours (Å) after each atom.
Space group F-43m (No. 216)
Asymmetric unit:
Ac: 0.0000 0.0000 0.0000 x4  4 Sn 3.40, 4 Pa 3.40
Ce: 0.0000 0.0000 0.5000 x4  4 Pa 3.40, 4 Sn 3.40
Pa: 0.2500 0.2500 0.7500 x4  4 Ac 3.40, 4 Ce 3.40
Sn: 0.2500 0.2500 0.2500 x4  4 Ac 3.40, 4 Ce 3.40

Output
formation energy from the elements	0.128	eV/atom
E	-92.12	eV/cell

8.
An optimized crystal structure of KPRh2, computed with PBE.

Unit cell a=3.8805 b=3.9226 c=5.9969 alpha=90.00 beta=90.00 gamma=90.00
With the nearest neighbours (Å) after each atom.
Space group Pmm2 (No. 25)
Asymmetric unit:
K: 0.0000 0.0000 0.0000 x1  4 P 3.35, 8 Rh 3.52-3.64
P: 0.5000 0.5000 0.6840 x1  4 Rh 2.27
Rh: 0.0000 0.5000 0.4882 x1  2 P 2.27
Rh: 0.5000 0.0000 0.4933 x1  2 P 2.27

Output
formation energy from the elements	-0.219	eV/atom
E	-22.09	eV/cell

9.
An optimized crystal structure of PrSiGe, computed with PBE.

Unit cell a=4.2298 b=4.2298 c=17.6404 alpha=90.00 beta=90.00 gamma=90.00
With the nearest neighbours (Å) after each atom.
Space group I4/mmm (No. 139)
Asymmetric unit:
Pr: 0.0000 0.0000 0.1406 x4  5 Ge 2.91-3.14
Si: 0.0000 0.0000 0.4365 x4  1 Si 2.24, 1 Ge 2.31
Ge: 0.0000 0.0000 0.3056 x4  1 Si 2.31

Output
energy above the lowest structure with this stoichiometry	1.34	eV per formula unit
E	-61.19	eV/cell
E_form (uncorrected)	-46	kJ/mol of formula units

10.
An optimized crystal structure of ZnRuCl2, computed with PBE.

Unit cell a=6.6630 b=6.6630 c=6.6630 alpha=90.00 beta=90.00 gamma=90.00
With the nearest neighbours (Å) after each atom.
Space group F-43m (No. 216)
Asymmetric unit:
Zn: 0.0000 0.0000 0.0000 x4  4 Cl 2.89, 4 Ru 2.89
Ru: 0.2500 0.2500 0.7500 x4  4 Cl 2.89, 4 Zn 2.89
Cl: 0.0000 0.0000 0.5000 x4  4 Cl 2.89, 4 Ru 2.89
Cl: 0.2500 0.2500 0.2500 x4  4 Cl 2.89, 4 Zn 2.89

Output
energy above the lowest structure with this stoichiometry	3.84	eV per formula unit
E	-45.98	eV/cell
E_form (uncorrected)	265	kJ/mol of formula units

11.
An optimized crystal structure of ScAsCl, computed with PBE.

Unit cell a=3.5205 b=3.5205 c=7.1289 alpha=90.00 beta=90.00 gamma=120.00
With the nearest neighbours (Å) after each atom.
Space group P3m1 (No. 156)
Asymmetric unit:
Sc: 0.0000 0.0000 0.0000 x1  3 Cl 2.58, 3 As 2.74
As: 0.6667 0.3333 0.2585 x1  3 Sc 2.74
Cl: 0.3333 0.6667 0.7760 x1  3 Sc 2.58

Output
energy above the lowest structure with this stoichiometry	0.44	eV per formula unit
E	-16.25	eV/cell
E_form (uncorrected)	-331	kJ/mol of formula units

12.
An optimized crystal structure of SnMo2Pd, computed with PBE.

Unit cell a=7.4332 b=7.4332 c=5.3395 alpha=90.00 beta=90.00 gamma=90.00
With the nearest neighbours (Å) after each atom.
Space group I-42d (No. 122)
Asymmetric unit:
Sn: 0.0000 0.0000 0.0000 x4  2 Pd 2.67, 4 Mo 2.78
Mo: 0.2360 0.2500 0.6250 x8  2 Pd 2.64, 2 Mo 2.68, 2 Sn 2.78
Pd: 0.0000 0.0000 0.5000 x4  4 Mo 2.64, 2 Sn 2.67

Output
formation energy from the elements	0.630	eV/atom
E	-113.35	eV/cell